A plane-wave DFT calculation with GGA-PBE was carried out for a relaxed LaHfBr2 crystal.

Summary:
Energy relative to the lowest polymorph listed for this composition ... 297 meV/atom
VASP energy ... -4.938 eV per atom
Density ... 8.03 g/cm3
Space-group type ... Fm-3m, No. 225
Raw formation energy ... -0.381 eV/atom
Total magnetic moment ... 0.0 μB/f.u.

CIF file:
```
data_LaHfBr2
_symmetry_space_group_name_H-M 'P 1'
_symmetry_Int_Tables_number 1
_cell_length_a 5.188
_cell_length_b 5.188
_cell_length_c 5.188
_cell_angle_alpha 60.00
_cell_angle_beta 60.00
_cell_angle_gamma 60.00
loop_
_symmetry_equiv_pos_as_xyz
'x,y,z'
loop_
_atom_site_label
_atom_site_type_symbol
_atom_site_fract_x
_atom_site_fract_y
_atom_site_fract_z
_atom_site_occupancy
La1 La 0.000 0.000 0.000 1
Hf1 Hf 0.500 0.500 0.500 1
Br1 Br 0.250 0.250 0.250 1
Br2 Br 0.750 0.750 0.750 1
```